The following is a GGA+U calculation of a relaxed structure of La2MnSiO6, from Alexandria.

a b c (Å): 5.4015 5.4015 3.8233
angles (deg): 90.00 90.00 90.00
Last column: nearest neighbours and their distance in Å.
Space group P4/mmm (No. 123)
One atom of each set of equivalent atoms:
La 0.0000 0.5000 0.0000  12 O 2.70-2.71
Mn 0.0000 0.0000 0.5000  6 O 1.91-2.06
Si 0.5000 0.5000 0.5000  6 O 1.76-1.91
O 0.0000 0.0000 0.0000  2 Mn 1.91
O 0.2698 0.2698 0.5000  1 Si 1.76
O 0.5000 0.5000 0.0000  2 Si 1.91

Results
Magnetic moment: 0.10 μB per atom
E_tot: -7.807 eV per atom
Calculated volume: 11.16 A^3/atom
DOS(E_F): 1.43 states/eV per cell